First-principles (GGA-PBE) data for a geometry-optimized PaSbTe2S structure, as listed in the Alexandria database.

Values from the calculation:
Its magnetic moment is 2.6 μB/cell. The formation energy (no corrections) is -0.693 eV/atom. Its crystal system is tetragonal. Its density of states at the Fermi level is 13.680 states/eV/cell.

abc: 4.4155 4.4155 14.7320
angles: 90.00 90.00 90.00
Space group P4/nmm (No. 129, origin choice 2)
Inequivalent atoms, fractional coordinates:
Pa  0.2500  0.2500  0.1123
Sb  0.2500  0.2500  0.6011
Te  0.2500  0.2500  0.3855
Te  0.2500  0.2500  0.8031
S  0.2500  0.7500  0.0000